Here is a geometry-optimized BaZnPdF6 structure from the Alexandria database. Energies are from PBE-GGA.

Cell lengths 7.4047, 7.4047, 7.4047 Å; angles 123.07, 119.13, 88.14 degrees
Atoms (fractional coordinates):
Ba: 0.3787 0.1287 0.2500
Ba: 0.6213 0.8713 0.7500
Zn: 0.0000 0.5000 0.5000
Zn: 0.5000 0.5000 0.0000
Pd: 0.0000 0.0000 0.5000
Pd: 0.0000 0.5000 0.0000
F: 0.1226 0.4122 0.2729
F: 0.1226 0.8497 0.7104
F: 0.1237 0.8737 0.2500
F: 0.3004 0.5504 0.7500
F: 0.3607 0.1503 0.7729
F: 0.3607 0.5878 0.2104
F: 0.6393 0.4122 0.7896
F: 0.6393 0.8497 0.2271
F: 0.6996 0.4496 0.2500
F: 0.8763 0.1263 0.7500
F: 0.8774 0.1503 0.2896
F: 0.8774 0.5878 0.7271

Computed properties:
Calculated total energy   -4.501 eV/atom